No. 1
Below is a relaxed structure of GaBrCl, with properties calculated at the PBE level.

Lattice parameters (Å, degrees): 3.8792 3.8792 6.7044 90.00 90.00 120.00
Last column: nearest neighbours and their distance in Å.
Space group P3m1 (No. 156)
Symmetry-distinct sites (fractional):
Ga: 0.0000 0.0000 0.0000 [1 per cell]  3 Cl 2.66, 3 Br 2.76
Br: 0.6667 0.3333 0.2412 [1 per cell]  3 Ga 2.76
Cl: 0.3333 0.6667 0.7853 [1 per cell]  3 Ga 2.66

D(E_F) ... 3.83 states/eV/f.u.
Relative energy among the computed polymorphs ... 0.292 eV/atom
Raw formation energy ... -0.592 eV/atom

=====

No. 2
Below is a relaxed structure of AcNpIn2Se4, with properties calculated at the PBE level.

Lattice parameters (Å, degrees): 7.6072 4.3700 8.0945 90.00 108.08 90.00
Last column: nearest neighbours and their distance in Å.
Space group P2/m (No. 10)
Symmetry-distinct sites (fractional):
Ac: 0.0000 0.0000 0.0000 [1 per cell]  6 Se 3.09-3.11
Np: 0.5000 0.5000 0.0000 [1 per cell]  6 Se 2.95
In: 0.0000 0.5000 0.5000 [1 per cell]  6 Se 3.41-3.42
In: 0.5000 0.0000 0.5000 [1 per cell]  6 Se 3.28
Se: 0.2553 0.5000 0.2197 [2 per cell]  1 Np 2.95, 2 Ac 3.09, 2 In 3.28
Se: 0.2801 0.0000 0.7899 [2 per cell]  2 Np 2.95, 1 Ac 3.11, 1 In 3.28

D(E_F) ... 7.06 states/eV/f.u.
Raw formation energy ... -1.055 eV/atom

=====

No. 3
Below is a relaxed structure of YCrAu2, with properties calculated at the PBE level.

Lattice parameters (Å, degrees): 6.8837 6.8837 6.8837 90.00 90.00 90.00
Last column: nearest neighbours and their distance in Å.
Space group Fm-3m (No. 225)
Symmetry-distinct sites (fractional):
Y: 0.0000 0.0000 0.0000 [4 per cell]  8 Au 2.98
Cr: 0.0000 0.0000 0.5000 [4 per cell]  8 Au 2.98
Au: 0.2500 0.2500 0.2500 [8 per cell]  4 Cr 2.98, 4 Y 2.98

D(E_F) ... 2.93 states/eV/f.u.
Energy of formation ... -0.36 eV per atom
Relative energy among the computed polymorphs ... 0.000 eV/atom

=====

No. 4
Below is a relaxed structure of La6PmNd3, with properties calculated at the PBE level.

Lattice parameters (Å, degrees): 10.1794 10.1794 12.2863 90.00 90.00 120.00
Last column: nearest neighbours and their distance in Å.
Space group R3 (No. 146, hexagonal axes)
Symmetry-distinct sites (fractional):
La: 0.0131 0.6733 0.0000 [9 per cell]  2 Nd 3.30-3.53, 1 Pm 3.66
La: 0.0137 0.3399 0.4999 [9 per cell]  2 Nd 3.29-3.66, 1 Pm 3.53
Pm: 0.0000 0.0000 0.5793 [3 per cell]  2 Nd 3.01-3.12
Nd: 0.0000 0.0000 0.0795 [3 per cell]  2 Nd 3.02-3.13
Nd: 0.0000 0.0000 0.3251 [3 per cell]  1 Nd 3.02, 1 Pm 3.12, 3 La 3.30
Nd: 0.0000 0.0000 0.8244 [3 per cell]  1 Pm 3.01, 1 Nd 3.13, 3 La 3.29

D(E_F) ... 18.49 states/eV/f.u.
Energy of formation ... 0.18 eV per atom
Relative energy among the computed polymorphs ... 0.077 eV/atom